*one*
Ba5Sr3: optimized geometry, GGA-PBE.

Unit cell a=4.952 b=6.930 c=13.870 alpha=90.00 beta=90.00 gamma=90.00
Sites, in units of the cell vectors:
Ba (0.000, 0.000, 0.000)
Ba (0.000, 0.000, 0.493)
Ba (0.000, 0.500, 0.747)
Ba (0.500, 0.000, 0.747)
Ba (0.500, 0.500, 0.490)
Sr (0.000, 0.500, 0.241)
Sr (0.500, 0.000, 0.246)
Sr (0.500, 0.500, 0.998)


*two*
Ba5Sr3: optimized geometry, GGA-PBE.

Unit cell a=11.862 b=11.862 c=11.862 alpha=96.22 beta=96.22 gamma=141.58
Sites, in units of the cell vectors:
Ba (0.073, 0.771, 0.844)
Ba (0.229, 0.073, 0.302)
Ba (0.250, 0.750, 0.500)
Ba (0.271, 0.573, 0.844)
Ba (0.427, 0.271, 0.698)
Ba (0.573, 0.729, 0.302)
Ba (0.729, 0.427, 0.156)
Ba (0.750, 0.250, 0.500)
Ba (0.771, 0.927, 0.698)
Ba (0.927, 0.229, 0.156)
Sr (0.177, 0.323, 0.500)
Sr (0.250, 0.250, 0.000)
Sr (0.323, 0.823, 0.146)
Sr (0.677, 0.177, 0.854)
Sr (0.750, 0.750, 0.000)
Sr (0.823, 0.677, 0.500)


*three*
Ba5Sr3: optimized geometry, GGA-PBE.

Unit cell a=12.025 b=12.025 c=7.918 alpha=90.00 beta=90.00 gamma=120.00
Sites, in units of the cell vectors:
Ba (0.000, 0.237, 0.250)
Ba (0.000, 0.763, 0.750)
Ba (0.237, 0.000, 0.250)
Ba (0.237, 0.237, 0.750)
Ba (0.333, 0.667, 0.000)
Ba (0.333, 0.667, 0.500)
Ba (0.667, 0.333, 0.000)
Ba (0.667, 0.333, 0.500)
Ba (0.763, 0.000, 0.750)
Ba (0.763, 0.763, 0.250)
Sr (0.000, 0.411, 0.750)
Sr (0.000, 0.589, 0.250)
Sr (0.411, 0.000, 0.750)
Sr (0.411, 0.411, 0.250)
Sr (0.589, 0.000, 0.250)
Sr (0.589, 0.589, 0.750)


It is *three* that is the least stable of them.


*one*
Ba2Sr3: optimized geometry, GGA-PBE.

Unit cell a=8.296 b=8.296 c=8.296 alpha=90.85 beta=90.85 gamma=90.85
Sites, in units of the cell vectors:
Ba (0.125, 0.125, 0.125)
Ba (0.375, 0.375, 0.375)
Ba (0.625, 0.625, 0.625)
Ba (0.875, 0.875, 0.875)
Sr (0.078, 0.750, 0.422)
Sr (0.250, 0.578, 0.922)
Sr (0.422, 0.078, 0.750)
Sr (0.578, 0.922, 0.250)
Sr (0.750, 0.422, 0.078)
Sr (0.922, 0.250, 0.578)


*two*
Ba2Sr3: optimized geometry, GGA-PBE.

Unit cell a=17.948 b=17.948 c=17.948 alpha=13.89 beta=13.89 gamma=13.89
Sites, in units of the cell vectors:
Ba (0.100, 0.100, 0.100)
Ba (0.900, 0.900, 0.900)
Sr (0.301, 0.301, 0.301)
Sr (0.500, 0.500, 0.500)
Sr (0.699, 0.699, 0.699)


*three*
Ba2Sr3: optimized geometry, GGA-PBE.

Unit cell a=10.122 b=8.215 c=14.767 alpha=90.00 beta=90.00 gamma=90.00
Sites, in units of the cell vectors:
Ba (0.248, 0.249, 0.077)
Ba (0.248, 0.751, 0.577)
Ba (0.252, 0.251, 0.577)
Ba (0.252, 0.749, 0.077)
Ba (0.748, 0.251, 0.923)
Ba (0.748, 0.749, 0.423)
Ba (0.752, 0.249, 0.423)
Ba (0.752, 0.751, 0.923)
Sr (0.000, 0.003, 0.750)
Sr (0.000, 0.997, 0.250)
Sr (0.129, 0.499, 0.346)
Sr (0.129, 0.501, 0.846)
Sr (0.371, 0.001, 0.846)
Sr (0.371, 0.999, 0.346)
Sr (0.500, 0.497, 0.250)
Sr (0.500, 0.503, 0.750)
Sr (0.629, 0.001, 0.654)
Sr (0.629, 0.999, 0.154)
Sr (0.871, 0.499, 0.154)
Sr (0.871, 0.501, 0.654)


It is *one* that is the least stable of them.


*one*
Ba2Sr: optimized geometry, GGA-PBE.

Unit cell a=8.189 b=8.189 c=12.986 alpha=90.00 beta=90.00 gamma=120.00
Sites, in units of the cell vectors:
Ba (0.000, 0.000, 0.000)
Ba (0.000, 0.000, 0.500)
Ba (0.171, 0.343, 0.250)
Ba (0.171, 0.829, 0.250)
Ba (0.343, 0.171, 0.750)
Ba (0.657, 0.829, 0.250)
Ba (0.829, 0.171, 0.750)
Ba (0.829, 0.657, 0.750)
Sr (0.333, 0.667, 0.565)
Sr (0.333, 0.667, 0.935)
Sr (0.667, 0.333, 0.065)
Sr (0.667, 0.333, 0.435)


*two*
Ba2Sr: optimized geometry, GGA-PBE.

Unit cell a=6.967 b=6.967 c=4.259 alpha=90.00 beta=90.00 gamma=120.00
Sites, in units of the cell vectors:
Ba (0.333, 0.667, 0.167)
Ba (0.667, 0.333, 0.833)
Sr (0.000, 0.000, 0.500)


*three*
Ba2Sr: optimized geometry, GGA-PBE.

Unit cell a=12.119 b=12.119 c=12.119 alpha=159.66 beta=144.12 gamma=41.59
Sites, in units of the cell vectors:
Ba (0.086, 0.836, 0.250)
Ba (0.265, 0.015, 0.250)
Ba (0.735, 0.985, 0.750)
Ba (0.914, 0.164, 0.750)
Sr (0.424, 0.674, 0.750)
Sr (0.576, 0.326, 0.250)


*four*
Ba2Sr: optimized geometry, GGA-PBE.

Unit cell a=7.083 b=7.083 c=8.421 alpha=90.00 beta=90.00 gamma=120.00
Sites, in units of the cell vectors:
Ba (0.000, 0.000, 0.000)
Ba (0.000, 0.000, 0.500)
Ba (0.333, 0.667, 0.250)
Ba (0.667, 0.333, 0.750)
Sr (0.333, 0.667, 0.750)
Sr (0.667, 0.333, 0.250)


It is *three* that is the least stable of them.


*one*
Ba5Sr4: optimized geometry, GGA-PBE.

Unit cell a=10.683 b=10.683 c=10.683 alpha=153.51 beta=93.13 gamma=92.89
Sites, in units of the cell vectors:
Ba (0.000, 0.000, 0.000)
Ba (0.330, 0.000, 0.330)
Ba (0.331, 0.331, 0.000)
Ba (0.669, 0.669, 0.000)
Ba (0.670, 0.000, 0.670)
Sr (0.000, 0.331, 0.669)
Sr (0.000, 0.669, 0.331)
Sr (0.338, 0.669, 0.669)
Sr (0.662, 0.331, 0.331)


*two*
Ba5Sr4: optimized geometry, GGA-PBE.

Unit cell a=9.801 b=9.801 c=9.801 alpha=95.81 beta=95.81 gamma=142.91
Sites, in units of the cell vectors:
Ba (0.000, 0.000, 0.000)
Ba (0.000, 0.330, 0.330)
Ba (0.000, 0.670, 0.670)
Ba (0.330, 0.000, 0.330)
Ba (0.670, 0.000, 0.670)
Sr (0.334, 0.334, 0.667)
Sr (0.334, 0.666, 0.000)
Sr (0.666, 0.334, 0.000)
Sr (0.666, 0.666, 0.333)


It is *two* that is the least stable of them.


*one*
Ba5Sr4: optimized geometry, GGA-PBE.

Unit cell a=10.601 b=10.601 c=10.601 alpha=93.18 beta=93.18 gamma=152.78
Sites, in units of the cell vectors:
Ba (0.000, 0.000, 0.000)
Ba (0.334, 0.334, 0.667)
Ba (0.334, 0.666, 0.000)
Ba (0.666, 0.334, 0.000)
Ba (0.666, 0.666, 0.333)
Sr (0.000, 0.336, 0.336)
Sr (0.000, 0.664, 0.664)
Sr (0.336, 0.000, 0.336)
Sr (0.664, 0.000, 0.664)


*two*
Ba5Sr4: optimized geometry, GGA-PBE.

Unit cell a=12.177 b=12.177 c=8.340 alpha=90.00 beta=90.00 gamma=120.00
Sites, in units of the cell vectors:
Ba (0.000, 0.337, 0.250)
Ba (0.000, 0.663, 0.750)
Ba (0.333, 0.667, 0.000)
Ba (0.333, 0.667, 0.500)
Ba (0.337, 0.000, 0.250)
Ba (0.337, 0.337, 0.750)
Ba (0.663, 0.000, 0.750)
Ba (0.663, 0.663, 0.250)
Ba (0.667, 0.333, 0.000)
Ba (0.667, 0.333, 0.500)
Sr (0.000, 0.000, 0.000)
Sr (0.000, 0.000, 0.500)
Sr (0.000, 0.327, 0.750)
Sr (0.000, 0.673, 0.250)
Sr (0.327, 0.000, 0.750)
Sr (0.327, 0.327, 0.250)
Sr (0.673, 0.000, 0.250)
Sr (0.673, 0.673, 0.750)


It is *two* that is the least stable of them.


*one*
BaSr6: optimized geometry, GGA-PBE.

Unit cell a=9.081 b=9.081 c=9.081 alpha=109.47 beta=109.47 gamma=109.47
Sites, in units of the cell vectors:
Ba (0.000, 0.000, 0.000)
Sr (0.250, 0.500, 0.750)
Sr (0.250, 0.750, 0.500)
Sr (0.500, 0.250, 0.750)
Sr (0.500, 0.750, 0.250)
Sr (0.750, 0.250, 0.500)
Sr (0.750, 0.500, 0.250)


*two*
BaSr6: optimized geometry, GGA-PBE.

Unit cell a=7.882 b=7.882 c=13.334 alpha=90.00 beta=90.00 gamma=90.00
Sites, in units of the cell vectors:
Ba (0.250, 0.750, 0.000)
Ba (0.750, 0.250, 0.000)
Sr (0.076, 0.576, 0.365)
Sr (0.076, 0.924, 0.635)
Sr (0.250, 0.250, 0.148)
Sr (0.250, 0.250, 0.852)
Sr (0.424, 0.576, 0.635)
Sr (0.424, 0.924, 0.365)
Sr (0.576, 0.076, 0.635)
Sr (0.576, 0.424, 0.365)
Sr (0.750, 0.750, 0.148)
Sr (0.750, 0.750, 0.852)
Sr (0.924, 0.076, 0.365)
Sr (0.924, 0.424, 0.635)


*three*
BaSr6: optimized geometry, GGA-PBE.

Unit cell a=10.431 b=10.431 c=10.431 alpha=118.28 beta=118.28 gamma=118.28
Sites, in units of the cell vectors:
Ba (0.000, 0.000, 0.000)
Sr (0.146, 0.289, 0.576)
Sr (0.289, 0.576, 0.146)
Sr (0.424, 0.854, 0.711)
Sr (0.576, 0.146, 0.289)
Sr (0.711, 0.424, 0.854)
Sr (0.854, 0.711, 0.424)


It is *one* that is the least stable of them.